Material: Nd6Si2HBr3
Method: DFT, PBE-GGA
State: relaxed

- VASP energy: -58.843 eV/cell
- Symmetry: C2/m, No. 12

abc: 7.1271 7.1271 7.7486
angles: 99.07 99.07 119.92
With the nearest neighbours (Å) after each atom.
Element x y z (fractional)
Nd  0.0677  0.3906  0.2055  1 H 2.75, 2 Si 2.86-2.87
Nd  0.2592  0.2592  0.7801  2 Si 2.86, 1 H 2.88, 1 Br 3.16
Nd  0.3906  0.0677  0.2055  1 H 2.75, 2 Si 2.86-2.87
Nd  0.6094  0.9323  0.7945  1 H 2.75, 2 Si 2.86-2.87
Nd  0.7408  0.7408  0.2199  2 Si 2.86, 1 H 2.88, 1 Br 3.16
Nd  0.9323  0.6094  0.7945  1 H 2.75, 2 Si 2.86-2.87
Si  0.3350  0.6650  0.0000  6 Nd 2.86-2.87
Si  0.6650  0.3350  0.0000  6 Nd 2.86-2.87
H  0.0000  0.0000  0.0000  6 Nd 2.75-2.88
Br  0.1810  0.8190  0.5000  6 Nd 3.15-3.25
Br  0.5000  0.5000  0.5000  6 Nd 3.16-3.18
Br  0.8190  0.1810  0.5000  6 Nd 3.15-3.25